No. 1
Entry from Alexandria: a crystal of Li4Fe2Co3Sn3O16 relaxed with PBEsol (meta-GGA SCAN).

```
28
Lattice="5.926 0.035 -0.004 2.952 5.139 -0.004 0.119 0.069 9.285" Properties=species:S:1:pos:R:3 pbc="T T T"
Li 3.069 1.789 1.208
Li 1.181 0.688 0.357
Li 0.180 0.105 4.590
Li 5.932 3.457 5.567
Fe 2.982 1.738 4.601
Fe 5.830 3.398 0.040
Co 1.589 0.926 7.260
Co 4.499 4.304 2.646
Co 5.963 1.793 2.646
Sn 3.023 3.462 7.337
Sn 4.502 0.923 7.337
Sn 7.420 4.324 2.557
O 3.083 3.502 3.702
O 4.350 2.535 6.074
O 2.928 1.707 8.419
O 0.180 0.105 6.342
O 0.140 0.082 1.721
O 4.566 0.957 3.702
O 1.666 2.441 6.115
O 2.945 0.246 6.115
O 7.470 4.354 8.459
O 1.519 0.885 3.590
O 5.791 4.994 1.443
O 7.200 2.577 1.443
O 5.892 3.434 3.607
O 4.566 4.439 8.346
O 4.677 2.726 1.592
O 6.112 1.784 8.346
```

## Properties
SG ... Cm
Energy relative to the elements, uncorrected ... -1.7287 eV per atom

No. 2
Entry from Alexandria: a crystal of La2Te5 relaxed with PBEsol (meta-GGA SCAN).

```
14
Lattice="-4.155 -1.141 0.960 -0.937 -0.212 -4.308 5.384 -21.605 -2.367" Properties=species:S:1:pos:R:3 pbc="T T T"
La -0.824 -4.729 -4.110
La 1.116 -18.230 -1.605
La 1.625 -13.725 -4.199
La -1.333 -9.234 -1.516
Te 3.858 -20.100 -2.109
Te -3.566 -2.858 -3.605
Te -1.019 -2.186 -1.932
Te 1.310 -20.772 -3.783
Te 1.419 -11.141 -2.020
Te -1.127 -11.817 -3.694
Te 0.057 -7.965 -4.142
Te 0.235 -14.994 -1.573
Te 2.480 -16.867 -4.230
Te -2.188 -6.091 -1.485
```

## Properties
SG ... Cmcm
Energy relative to the elements, uncorrected ... -1.3682 eV per atom

No. 3
Entry from Alexandria: a crystal of LiOs2Se relaxed with PBEsol (meta-GGA SCAN).

```
4
Lattice="2.795 0.000 0.000 0.000 3.667 0.000 -1.397 0.000 5.718" Properties=species:S:1:pos:R:3 pbc="T T T"
Li 1.397 1.833 2.280
Os 0.000 0.000 0.678
Os 0.000 1.833 5.267
Se 0.000 0.000 3.253
```

## Properties
SG ... Amm2
Energy relative to the elements, uncorrected ... 0.1735 eV per atom

No. 4
Entry from Alexandria: a crystal of ReW3 relaxed with PBEsol (meta-GGA SCAN).

```
4
Lattice="-1.794 -2.564 0.122 2.074 -1.275 3.707 -2.985 2.205 2.428" Properties=species:S:1:pos:R:3 pbc="T T T"
Re 0.000 0.000 0.000
W -2.390 -0.180 1.275
W 0.140 -1.919 1.914
W -0.455 0.465 3.067
```

## Properties
DFT formation energy ... 10 meV per atom
SG ... P4/mmm
Excess energy over the best structure of this formula in the dataset ... 0.002 eV per atom

No. 5
Entry from Alexandria: a crystal of ScRuW2 relaxed with PBEsol (meta-GGA SCAN).

```
4
Lattice="2.836 0.000 0.000 0.000 2.836 0.000 0.000 0.000 8.082" Properties=species:S:1:pos:R:3 pbc="T T T"
Ru 1.418 1.418 0.000
Sc 1.418 1.418 4.041
W 0.000 0.000 6.288
W 0.000 0.000 1.794
```

## Properties
DFT formation energy ... 229 meV per atom
SG ... P4/mmm

No. 6
Entry from Alexandria: a crystal of CaZnCl relaxed with PBEsol (meta-GGA SCAN).

```
3
Lattice="4.136 0.000 0.000 0.000 4.682 0.000 0.000 -2.341 4.055" Properties=species:S:1:pos:R:3 pbc="T T T"
Zn 2.068 2.341 1.352
Ca 0.000 0.000 0.000
Cl 0.000 0.000 2.703
```

## Properties
SG ... P-6m2
Excess energy over the best structure of this formula in the dataset ... 0.000 eV per atom
Energy relative to the elements, uncorrected ... -0.8427 eV per atom

No. 7
Entry from Alexandria: a crystal of Na2ZrBeTe relaxed with PBEsol (meta-GGA SCAN).

```
5
Lattice="-2.731 -3.088 -2.600 3.787 -3.047 -0.359 -1.413 -2.246 4.151" Properties=species:S:1:pos:R:3 pbc="T T T"
Na 1.894 -1.523 -0.180
Na -1.366 -1.544 -1.300
Te -0.706 -1.123 2.076
Zr -0.178 -4.190 0.596
Be 0.000 0.000 0.000
```

## Properties
SG ... P4/mmm
Energy relative to the elements, uncorrected ... 0.7238 eV per atom

No. 8
Entry from Alexandria: a crystal of RbSi relaxed with PBEsol (meta-GGA SCAN).

```
32
Lattice="10.813 0.000 0.000 -5.407 10.328 -0.006 0.000 5.666 9.210" Properties=species:S:1:pos:R:3 pbc="T T T"
Rb -2.703 13.310 9.039
Rb 2.703 9.265 2.464
Rb 3.860 6.123 5.755
Rb 6.954 3.290 1.150
Rb 2.703 12.098 7.069
Rb -2.703 10.477 4.434
Rb 1.547 3.290 1.150
Rb 9.267 6.123 5.755
Rb 4.099 5.895 1.186
Rb 6.714 7.266 3.413
Rb 4.099 0.685 1.114
Rb 6.714 4.981 8.096
Rb 1.307 3.518 5.719
Rb 9.506 2.148 3.491
Rb 1.307 8.729 5.791
Rb -1.307 10.099 8.018
Si 1.031 6.061 8.215
Si 9.782 1.066 0.096
Si 4.766 9.604 5.577
Si 6.047 10.684 7.333
Si 1.031 6.186 3.294
Si -1.031 5.514 2.203
Si -0.641 12.971 5.926
Si 0.640 11.890 4.170
Si 4.376 9.019 7.899
Si 6.438 8.348 6.808
Si -4.766 10.138 1.322
Si 4.766 14.723 8.775
Si 4.376 3.228 3.610
Si 6.438 3.899 4.701
Si 0.641 6.771 0.972
Si -0.640 7.851 2.728
```

## Properties
SG ... I4_1/acd
Excess energy over the best structure of this formula in the dataset ... 0.014 eV per atom
Energy relative to the elements, uncorrected ... -0.0709 eV per atom

No. 9
Entry from Alexandria: a crystal of AlGaAsSe2 relaxed with PBEsol (meta-GGA SCAN).

```
5
Lattice="-4.776 -0.909 -0.132 -0.040 -0.499 4.880 -0.926 4.793 0.482" Properties=species:S:1:pos:R:3 pbc="T T T"
As -2.388 -0.455 -0.066
Ga 0.000 0.000 0.000
Se -0.463 2.397 0.241
Se -0.020 -0.249 2.440
Al -2.871 1.692 2.615
```

## Properties
SG ... P4/mmm
Energy relative to the elements, uncorrected ... 0.5182 eV per atom

No. 10
Entry from Alexandria: a crystal of CaP2Rh relaxed with PBEsol (meta-GGA SCAN).

```
4
Lattice="4.008 0.000 0.000 2.004 4.243 0.034 2.004 0.516 4.212" Properties=species:S:1:pos:R:3 pbc="T T T"
Ca 2.004 0.000 0.000
P 4.008 3.250 2.899
P 4.008 1.509 1.346
Rh 2.004 2.380 2.123
```

## Properties
DFT formation energy ... -675 meV per atom
SG ... Immm
Excess energy over the best structure of this formula in the dataset ... 0.000 eV per atom

No. 11
Entry from Alexandria: a crystal of SrAgH3 relaxed with PBEsol (meta-GGA SCAN).

```
5
Lattice="3.899 0.000 0.000 0.000 3.899 0.000 0.000 0.000 3.899" Properties=species:S:1:pos:R:3 pbc="T T T"
Sr 1.950 1.950 1.950
Ag 0.000 0.000 0.000
H 0.000 1.950 0.000
H 0.000 0.000 1.950
H 1.950 0.000 0.000
```

## Properties
SG ... Pm-3m
Raw total energy ... -0.9623 Ry per atom

No. 12
Entry from Alexandria: a crystal of HgSb2S relaxed with PBEsol (meta-GGA SCAN).

```
8
Lattice="-0.167 -3.588 -3.159 4.766 -0.367 0.165 -3.020 -4.208 8.560" Properties=species:S:1:pos:R:3 pbc="T T T"
Sb 3.341 -2.964 0.883
Sb 0.898 -4.083 -0.346
Sb -1.364 -3.676 6.057
Sb 0.283 -5.603 4.537
S -0.444 -4.887 1.952
S 2.300 -1.977 -1.497
Hg 2.023 -3.276 3.614
Hg 0.000 0.000 0.000
```

## Properties
SG ... I-42d
Energy relative to the elements, uncorrected ... 0.1588 eV per atom

No. 13
Entry from Alexandria: a crystal of SrNiTe2 relaxed with PBEsol (meta-GGA SCAN).

```
4
Lattice="3.888 0.000 0.000 0.000 4.464 -0.082 0.000 -1.248 6.399" Properties=species:S:1:pos:R:3 pbc="T T T"
Sr 1.944 2.232 -0.041
Te 0.000 3.237 4.578
Te 0.000 -0.021 1.739
Ni 1.944 -0.624 3.199
```

## Properties
SG ... P2/m
Energy relative to the elements, uncorrected ... -0.7675 eV per atom

No. 14
Entry from Alexandria: a crystal of LaAlTe2 relaxed with PBEsol (meta-GGA SCAN).

```
4
Lattice="-2.670 -0.447 -3.464 3.135 -2.159 -2.139 -3.559 -3.980 3.257" Properties=species:S:1:pos:R:3 pbc="T T T"
Te -0.425 -5.765 1.071
Te -0.661 -3.078 -1.884
Al -1.183 -1.725 1.134
La -3.027 -4.147 0.078
```

## Properties
SG ... Pm
Energy relative to the elements, uncorrected ... -1.1618 eV per atom

No. 15
Entry from Alexandria: a crystal of Mn12Fe17 relaxed with PBEsol (meta-GGA SCAN).

```
29
Lattice="-7.133 1.564 0.132 2.065 -1.373 -6.870 1.282 -5.874 4.147" Properties=species:S:1:pos:R:3 pbc="T T T"
Fe -3.758 -1.719 -0.969
Fe 0.208 -4.477 -1.815
Fe 1.441 -4.020 0.333
Fe 1.668 -2.714 -2.863
Fe -0.819 -2.657 -3.207
Fe -3.383 -3.331 0.919
Fe -3.939 -0.924 1.406
Fe -1.498 -3.081 2.570
Fe -1.069 -4.096 0.314
Fe -3.077 -1.573 -3.382
Fe -1.021 -0.337 -4.146
Fe -3.689 0.515 -2.115
Fe -2.438 -3.657 -1.668
Fe -2.542 0.558 0.047
Fe 0.457 -2.094 1.478
Fe 0.736 -0.489 -2.449
Fe 0.000 0.000 0.000
Mn -0.041 -2.420 -0.992
Mn -5.201 -0.112 -0.415
Mn 2.471 -4.792 -2.949
Mn 2.330 -5.606 -0.958
Mn -1.809 -1.855 0.355
Mn 0.566 -1.953 -4.806
Mn -3.438 -3.764 3.433
Mn -4.958 -2.420 2.707
Mn -1.659 -0.990 -1.764
Mn 0.075 -4.776 2.102
Mn -4.467 0.403 -4.201
Mn -2.805 -0.128 -5.467
```

## Properties
DFT formation energy ... 135 meV per atom
SG ... I-43m

No. 16
Entry from Alexandria: a crystal of LaIn3H relaxed with PBEsol (meta-GGA SCAN).

```
5
Lattice="-2.717 -1.818 3.439 3.505 -2.964 1.202 1.688 3.228 3.040" Properties=species:S:1:pos:R:3 pbc="T T T"
H 0.000 0.000 0.000
In 1.752 -1.482 0.601
In 0.844 1.614 1.520
In -1.358 -0.909 1.719
La 1.238 -0.777 3.840
```

## Properties
SG ... Pm-3m
Raw total energy ... -2.1735 Ry per atom

No. 17
Entry from Alexandria: a crystal of TaPbW3 relaxed with PBEsol (meta-GGA SCAN).

```
5
Lattice="4.817 0.000 0.000 0.000 4.817 0.000 0.000 0.000 4.817" Properties=species:S:1:pos:R:3 pbc="T T T"
Pb 2.409 2.409 2.409
W 0.000 2.409 0.000
W 0.000 0.000 2.409
W 2.409 0.000 0.000
Ta 0.000 0.000 0.000
```

## Properties
DFT formation energy ... 2346 meV per atom
SG ... Pm-3m

No. 18
Entry from Alexandria: a crystal of Sc2Be relaxed with PBEsol (meta-GGA SCAN).

```
6
Lattice="5.299 0.039 0.000 -2.287 4.781 0.000 -1.506 -2.410 4.473" Properties=species:S:1:pos:R:3 pbc="T T T"
Be 2.259 3.615 0.000
Be 0.753 1.205 0.000
Sc 3.403 1.224 0.659
Sc -1.896 1.185 3.814
Sc 0.558 -0.349 2.236
Sc 0.948 2.759 2.236
```

## Properties
DFT formation energy ... 51 meV per atom
SG ... I4/mcm
Excess energy over the best structure of this formula in the dataset ... 0.095 eV per atom

No. 19
Entry from Alexandria: a crystal of Ni2RhAu relaxed with PBEsol (meta-GGA SCAN).

```
4
Lattice="3.685 0.000 0.000 0.000 3.685 0.000 -1.843 -1.843 3.807" Properties=species:S:1:pos:R:3 pbc="T T T"
Au 0.000 1.843 1.904
Ni 0.000 0.000 0.000
Ni 1.843 0.000 1.904
Rh 1.843 1.843 0.000
```

## Properties
DFT formation energy ... 102 meV per atom
SG ... I-4m2

No. 20
Entry from Alexandria: a crystal of NiBi6Rh relaxed with PBEsol (meta-GGA SCAN).

```
16
Lattice="4.161 0.000 0.000 0.000 8.799 0.000 0.000 0.000 11.289" Properties=species:S:1:pos:R:3 pbc="T T T"
Ni 2.080 5.270 8.222
Ni 2.080 0.870 3.066
Bi 2.080 8.000 0.751
Bi 2.080 3.601 10.538
Bi 0.000 0.793 4.863
Bi 0.000 5.193 6.426
Bi 2.080 6.992 4.100
Bi 2.080 2.592 7.188
Bi 0.000 1.775 1.579
Bi 0.000 6.175 9.709
Bi 2.080 7.827 7.402
Bi 2.080 3.427 3.887
Bi 0.000 0.956 9.535
Bi 0.000 5.356 1.754
Rh 0.000 3.584 8.695
Rh 0.000 7.983 2.594
```

## Properties
DFT formation energy ... -14 meV per atom
SG ... Pmc2_1